Computed, not measured: CoIrRu2 after structural relaxation at the PBE-GGA level of DFT.

DOS(E_F) (states/eV/cell): 5.8
E (eV/atom): -8.55
SG: I-4m2
Energy of formation from the pure elements (eV/atom): 0.08

a = 4.6133 Å, b = 4.6133 Å, c = 4.6133 Å
α = 131.99°, β = 131.99°, γ = 70.24°
With the nearest neighbours (Å) after each atom.
Atoms (fractional coordinates):
Co1 0.5000 0.5000 0.0000  8 Ru 2.65-2.66, 4 Ir 2.66
Ir1 0.7500 0.2500 0.5000  8 Ru 2.65-2.66, 4 Co 2.66
Ru1 0.0000 0.0000 0.0000  4 Co 2.65, 4 Ru 2.66, 4 Ir 2.66
Ru2 0.2500 0.7500 0.5000  4 Ir 2.65, 4 Ru 2.66, 4 Co 2.66